The following is a PBE calculation of a relaxed structure of Cu2NiOs, from Alexandria.

Properties
- calculated formation energy (eV per atom) = 0.3125
- electronic total energy (Ry/atom) = -0.4401

a b c (Å): 2.5943 2.5943 7.3831
angles (deg): 90.00 90.00 90.00
Each line ends with the local moment (μB).
Fractional positions:
Cu 0.0000 0.0000 0.0141  0.03
Cu 0.0000 0.0000 0.4859  0.03
Ni 0.5000 0.5000 0.2500  0.34
Os 0.5000 0.5000 0.7500  0.15

---

The following is a PBE calculation of a relaxed structure of AcTb2DySe6, from Alexandria.

Properties
- uncorrected formation energy (eV per atom) = -1.880
- electronic total energy (Ry/atom) = -0.4239

a b c (Å): 7.4026 7.4027 7.8079
angles (deg): 61.70 61.70 60.00
Fractional positions:
Ac 0.8053 0.8053 0.5840
Tb 0.5180 0.5180 0.4460
Tb 0.0108 0.0109 0.9675
Dy 0.3181 0.3181 0.0456
Se 0.6106 0.2295 0.2444
Se 0.2295 0.9155 0.2444
Se 0.9156 0.6106 0.2444
Se 0.3763 0.7273 0.7463
Se 0.7272 0.1501 0.7464
Se 0.1501 0.3764 0.7463

---

The following is a PBE calculation of a relaxed structure of ReIr4Rh3, from Alexandria.

Properties
- calculated formation energy (eV per atom) = 0.7961
- electronic total energy (Ry/atom) = -0.5841

a b c (Å): 4.4363 3.7486 9.0259
angles (deg): 102.02 104.23 90.00
Fractional positions:
Re 0.5000 0.0000 0.0000
Ir 0.3461 0.8447 0.6922
Ir 0.6539 0.1553 0.3078
Ir 0.2502 0.2485 0.5003
Ir 0.7498 0.7515 0.4997
Rh 0.0000 0.5000 0.0000
Rh 0.9048 0.9048 0.8096
Rh 0.0952 0.0952 0.1904

---

The following is a PBE calculation of a relaxed structure of Th2TaCo12Ni3, from Alexandria.

Properties
- calculated formation energy (eV per atom) = 0.3392
- electronic total energy (Ry/atom) = -0.5031

a b c (Å): 9.6396 9.6396 9.6396
angles (deg): 35.19 35.19 35.19
Each line ends with the local moment (μB).
Fractional positions:
Th 0.6470 0.6470 0.6470  -0.20
Th 0.3530 0.3530 0.3530  -0.20
Ta 0.0000 0.0000 0.0000  -0.29
Co 0.4169 0.4169 0.8097  1.64
Co 0.9119 0.9119 0.3871  1.14
Co 0.3871 0.9119 0.9119  1.14
Co 0.8097 0.4169 0.4169  1.64
Co 0.9119 0.3871 0.9119  1.14
Co 0.4169 0.8097 0.4169  1.64
Co 0.5831 0.5831 0.1903  1.64
Co 0.0881 0.0881 0.6129  1.14
Co 0.6129 0.0881 0.0881  1.14
Co 0.1903 0.5831 0.5831  1.64
Co 0.0881 0.6129 0.0881  1.14
Co 0.5831 0.1903 0.5831  1.64
Ni 0.5000 0.0000 0.0000  0.75
Ni 0.0000 0.5000 0.0000  0.75
Ni 0.0000 0.0000 0.5000  0.75

---

Number 1: theoretical density 12.6 Mg/m³. Number 2: theoretical density 6.3 Mg/m³. Number 3: theoretical density 14.8 Mg/m³. Number 4: theoretical density 9.6 Mg/m³.